# V2CuS4 | Alexandria via LeMat-Bulk | SCAN | single point on PBEsol structure
# ρ   4.4 g/cm³
# Crystal system   cubic
# DOS at the Fermi energy   0.607 states/eV/atom
data_V2CuS4
_cell_length_a 6.791
_cell_length_b 6.791
_cell_length_c 6.791
_cell_angle_alpha 60.00
_cell_angle_beta 60.00
_cell_angle_gamma 60.00
_symmetry_space_group_name_H-M 'P 1'
_symmetry_Int_Tables_number 1
loop_
_symmetry_equiv_pos_as_xyz
'x,y,z'
loop_
_atom_site_label
_atom_site_fract_x
_atom_site_fract_y
_atom_site_fract_z
_atom_site_occupancy
V1 0.000 0.000 0.000 1
V2 0.000 0.000 0.500 1
V3 0.000 0.500 0.000 1
V4 0.500 0.000 0.000 1
Cu1 0.375 0.375 0.375 1
Cu2 0.625 0.625 0.625 1
S1 0.235 0.755 0.755 1
S2 0.245 0.245 0.245 1
S3 0.245 0.245 0.765 1
S4 0.245 0.765 0.245 1
S5 0.755 0.235 0.755 1
S6 0.755 0.755 0.235 1
S7 0.755 0.755 0.755 1
S8 0.765 0.245 0.245 1



# ZrVCuS4 | Alexandria via LeMat-Bulk | SCAN | single point on PBEsol structure
# ρ   4.4 g/cm³
# Crystal system   orthorhombic
# DOS at the Fermi energy   0.383 states/eV/atom
data_ZrVCuS4
_cell_length_a 7.064
_cell_length_b 7.064
_cell_length_c 7.064
_cell_angle_alpha 119.53
_cell_angle_beta 119.10
_cell_angle_gamma 91.19
_symmetry_space_group_name_H-M 'P 1'
_symmetry_Int_Tables_number 1
loop_
_symmetry_equiv_pos_as_xyz
'x,y,z'
loop_
_atom_site_label
_atom_site_fract_x
_atom_site_fract_y
_atom_site_fract_z
_atom_site_occupancy
Zr1 0.000 0.000 0.000 1
Zr2 0.500 0.000 0.500 1
V1 0.500 0.000 0.000 1
V2 0.500 0.500 0.500 1
Cu1 0.118 0.368 0.750 1
Cu2 0.882 0.632 0.250 1
S1 0.256 0.257 0.501 1
S2 0.256 0.754 0.999 1
S3 0.265 0.744 0.521 1
S4 0.278 0.256 0.021 1
S5 0.722 0.744 0.979 1
S6 0.735 0.256 0.479 1
S7 0.744 0.246 0.001 1
S8 0.744 0.743 0.499 1



# CuWS2 | Alexandria via LeMat-Bulk | SCAN | single point on PBEsol structure
# ρ   8.3 g/cm³
# Crystal system   trigonal
# DOS at the Fermi energy   0.903 states/eV/atom
data_CuWS2
_cell_length_a 7.709
_cell_length_b 7.709
_cell_length_c 7.709
_cell_angle_alpha 23.19
_cell_angle_beta 23.19
_cell_angle_gamma 23.19
_symmetry_space_group_name_H-M 'P 1'
_symmetry_Int_Tables_number 1
loop_
_symmetry_equiv_pos_as_xyz
'x,y,z'
loop_
_atom_site_label
_atom_site_fract_x
_atom_site_fract_y
_atom_site_fract_z
_atom_site_occupancy
Cu1 0.000 0.000 0.000 1
W1 0.500 0.500 0.500 1
S1 0.399 0.399 0.399 1
S2 0.601 0.601 0.601 1



# YCu3S3 | Alexandria via LeMat-Bulk | SCAN | single point on PBEsol structure
# ρ   5.3 g/cm³
# Crystal system   trigonal
# DOS at the Fermi energy   0.000 states/eV/atom
data_YCu3S3
_cell_length_a 7.330
_cell_length_b 7.330
_cell_length_c 7.330
_cell_angle_alpha 53.29
_cell_angle_beta 53.29
_cell_angle_gamma 53.29
_symmetry_space_group_name_H-M 'P 1'
_symmetry_Int_Tables_number 1
loop_
_symmetry_equiv_pos_as_xyz
'x,y,z'
loop_
_atom_site_label
_atom_site_fract_x
_atom_site_fract_y
_atom_site_fract_z
_atom_site_occupancy
Y1 0.167 0.167 0.167 1
Y2 0.833 0.833 0.833 1
Cu1 0.034 0.376 0.719 1
Cu2 0.281 0.966 0.624 1
Cu3 0.376 0.719 0.034 1
Cu4 0.624 0.281 0.966 1
Cu5 0.719 0.034 0.376 1
Cu6 0.966 0.624 0.281 1
S1 0.088 0.744 0.417 1
S2 0.256 0.583 0.912 1
S3 0.417 0.088 0.744 1
S4 0.583 0.912 0.256 1
S5 0.744 0.417 0.088 1
S6 0.912 0.256 0.583 1



# YCu2S2 | Alexandria via LeMat-Bulk | SCAN | single point on PBEsol structure
# ρ   5.7 g/cm³
# Crystal system   trigonal
# DOS at the Fermi energy   0.390 states/eV/atom
data_YCu2S2
_cell_length_a 3.868
_cell_length_b 3.868
_cell_length_c 6.298
_cell_angle_alpha 90.00
_cell_angle_beta 90.00
_cell_angle_gamma 120.00
_symmetry_space_group_name_H-M 'P 1'
_symmetry_Int_Tables_number 1
loop_
_symmetry_equiv_pos_as_xyz
'x,y,z'
loop_
_atom_site_label
_atom_site_fract_x
_atom_site_fract_y
_atom_site_fract_z
_atom_site_occupancy
Y1 0.000 0.000 0.000 1
Cu1 0.333 0.667 0.339 1
Cu2 0.667 0.333 0.661 1
S1 0.333 0.667 0.730 1
S2 0.667 0.333 0.270 1



# ZnCuS3 | Alexandria via LeMat-Bulk | SCAN | single point on PBEsol structure
# ρ   3.9 g/cm³
# Crystal system   cubic
# DOS at the Fermi energy   1.038 states/eV/atom
data_ZnCuS3
_cell_length_a 4.565
_cell_length_b 4.565
_cell_length_c 4.565
_cell_angle_alpha 90.00
_cell_angle_beta 90.00
_cell_angle_gamma 90.00
_symmetry_space_group_name_H-M 'P 1'
_symmetry_Int_Tables_number 1
loop_
_symmetry_equiv_pos_as_xyz
'x,y,z'
loop_
_atom_site_label
_atom_site_fract_x
_atom_site_fract_y
_atom_site_fract_z
_atom_site_occupancy
Zn1 0.000 0.000 0.000 1
Cu1 0.500 0.500 0.500 1
S1 0.000 0.000 0.500 1
S2 0.000 0.500 0.000 1
S3 0.500 0.000 0.000 1



# Zr2CuS4 | Alexandria via LeMat-Bulk | SCAN | single point on PBEsol structure
# ρ   4.6 g/cm³
# Crystal system   cubic
# DOS at the Fermi energy   0.343 states/eV/atom
data_Zr2CuS4
_cell_length_a 7.274
_cell_length_b 7.274
_cell_length_c 7.274
_cell_angle_alpha 60.00
_cell_angle_beta 60.00
_cell_angle_gamma 60.00
_symmetry_space_group_name_H-M 'P 1'
_symmetry_Int_Tables_number 1
loop_
_symmetry_equiv_pos_as_xyz
'x,y,z'
loop_
_atom_site_label
_atom_site_fract_x
_atom_site_fract_y
_atom_site_fract_z
_atom_site_occupancy
Zr1 0.000 0.000 0.000 1
Zr2 0.000 0.000 0.500 1
Zr3 0.000 0.500 0.000 1
Zr4 0.500 0.000 0.000 1
Cu1 0.375 0.375 0.375 1
Cu2 0.625 0.625 0.625 1
S1 0.248 0.751 0.751 1
S2 0.249 0.249 0.249 1
S3 0.249 0.249 0.752 1
S4 0.249 0.752 0.249 1
S5 0.751 0.248 0.751 1
S6 0.751 0.751 0.248 1
S7 0.751 0.751 0.751 1
S8 0.752 0.249 0.249 1



# CuSb2 | Alexandria via LeMat-Bulk | SCAN | single point on PBEsol structure
# ρ   8.2 g/cm³
# Crystal system   tetragonal
# DOS at the Fermi energy   0.542 states/eV/atom
data_CuSb2
_cell_length_a 5.486
_cell_length_b 5.486
_cell_length_c 5.486
_cell_angle_alpha 105.46
_cell_angle_beta 105.46
_cell_angle_gamma 117.82
_symmetry_space_group_name_H-M 'P 1'
_symmetry_Int_Tables_number 1
loop_
_symmetry_equiv_pos_as_xyz
'x,y,z'
loop_
_atom_site_label
_atom_site_fract_x
_atom_site_fract_y
_atom_site_fract_z
_atom_site_occupancy
Cu1 0.250 0.250 0.000 1
Cu2 0.750 0.750 0.000 1
Sb1 0.161 0.661 0.822 1
Sb2 0.339 0.161 0.500 1
Sb3 0.661 0.839 0.500 1
Sb4 0.839 0.339 0.178 1



# Cu2Sb | Alexandria via LeMat-Bulk | SCAN | single point on PBEsol structure
# ρ   8.8 g/cm³
# Crystal system   triclinic
# DOS at the Fermi energy   0.376 states/eV/atom
data_Cu2Sb
_cell_length_a 3.205
_cell_length_b 5.401
_cell_length_c 6.265
_cell_angle_alpha 115.36
_cell_angle_beta 104.80
_cell_angle_gamma 90.17
_symmetry_space_group_name_H-M 'P 1'
_symmetry_Int_Tables_number 1
loop_
_symmetry_equiv_pos_as_xyz
'x,y,z'
loop_
_atom_site_label
_atom_site_fract_x
_atom_site_fract_y
_atom_site_fract_z
_atom_site_occupancy
Cu1 0.001 0.256 0.000 1
Cu2 0.378 0.878 0.757 1
Cu3 0.622 0.122 0.243 1
Cu4 0.999 0.744 0.000 1
Sb1 0.327 0.329 0.657 1
Sb2 0.673 0.671 0.343 1



# Cu4Sb | Alexandria via LeMat-Bulk | SCAN | single point on PBEsol structure
# ρ   9.3 g/cm³
# Crystal system   tetragonal
# DOS at the Fermi energy   0.257 states/eV/atom
data_Cu4Sb
_cell_length_a 4.638
_cell_length_b 4.638
_cell_length_c 4.638
_cell_angle_alpha 99.38
_cell_angle_beta 99.38
_cell_angle_gamma 132.37
_symmetry_space_group_name_H-M 'P 1'
_symmetry_Int_Tables_number 1
loop_
_symmetry_equiv_pos_as_xyz
'x,y,z'
loop_
_atom_site_label
_atom_site_fract_x
_atom_site_fract_y
_atom_site_fract_z
_atom_site_occupancy
Cu1 0.097 0.687 0.784 1
Cu2 0.313 0.097 0.410 1
Cu3 0.687 0.903 0.590 1
Cu4 0.903 0.313 0.216 1
Sb1 0.500 0.500 0.000 1



# Cu2Sb | Alexandria via LeMat-Bulk | SCAN | single point on PBEsol structure
# ρ   8.8 g/cm³
# Crystal system   tetragonal
# DOS at the Fermi energy   0.256 states/eV/atom
data_Cu2Sb
_cell_length_a 3.964
_cell_length_b 3.964
_cell_length_c 6.003
_cell_angle_alpha 90.00
_cell_angle_beta 90.00
_cell_angle_gamma 90.00
_symmetry_space_group_name_H-M 'P 1'
_symmetry_Int_Tables_number 1
loop_
_symmetry_equiv_pos_as_xyz
'x,y,z'
loop_
_atom_site_label
_atom_site_fract_x
_atom_site_fract_y
_atom_site_fract_z
_atom_site_occupancy
Cu1 0.250 0.250 0.237 1
Cu2 0.250 0.750 0.500 1
Cu3 0.750 0.250 0.500 1
Cu4 0.750 0.750 0.763 1
Sb1 0.250 0.250 0.803 1
Sb2 0.750 0.750 0.197 1



# CuSb7 | Alexandria via LeMat-Bulk | SCAN | single point on PBEsol structure
# ρ   7.7 g/cm³
# Crystal system   cubic
# DOS at the Fermi energy   0.529 states/eV/atom
data_CuSb7
_cell_length_a 6.538
_cell_length_b 6.538
_cell_length_c 6.538
_cell_angle_alpha 60.00
_cell_angle_beta 60.00
_cell_angle_gamma 60.00
_symmetry_space_group_name_H-M 'P 1'
_symmetry_Int_Tables_number 1
loop_
_symmetry_equiv_pos_as_xyz
'x,y,z'
loop_
_atom_site_label
_atom_site_fract_x
_atom_site_fract_y
_atom_site_fract_z
_atom_site_occupancy
Cu1 0.000 0.000 0.000 1
Sb1 0.000 0.000 0.500 1
Sb2 0.000 0.500 0.000 1
Sb3 0.000 0.500 0.500 1
Sb4 0.500 0.000 0.000 1
Sb5 0.500 0.000 0.500 1
Sb6 0.500 0.500 0.000 1
Sb7 0.500 0.500 0.500 1



Formation energy from raw total energies / meV/atom: -863.5, -1266.6, 410.8, -999.4, -937.9, 801.5, -1526.9, 253.8, 104.8, 85.2, 5.2, 436.4